No. 1
Density functional theory data (PBE-GGA) for a geometry-optimized YP2Pt structure.

Geometry as POSCAR:
```
YP2Pt
1.0
-3.122 3.680 -0.100
-0.543 -0.777 -4.733
-1.057 -2.716 3.848
Y P Pt
1 2 1
Direct
0.250 0.750 0.500
0.946 0.946 0.000
0.554 0.554 0.000
0.750 0.250 0.500
```

Values from the calculation:
Relative energy among the computed polymorphs = 291 meV per atom
Formation energy = -3.1 eV per formula unit

---

No. 2
Density functional theory data (PBE-GGA) for a geometry-optimized YPPt structure.

Geometry as POSCAR:
```
YPPt
1.0
-2.105 1.383 4.187
-4.752 -1.135 0.072
4.030 -2.569 -1.020
P Pt Y
1 1 1
Direct
0.983 0.983 0.000
0.691 0.691 0.000
0.326 0.326 0.000
```

Values from the calculation:
Formation energy = -2.4 eV per formula unit

---

No. 3
Density functional theory data (PBE-GGA) for a geometry-optimized YPPt2 structure.

Geometry as POSCAR:
```
YPPt2
1.0
0.000 3.304 3.304
3.304 0.000 3.304
3.304 3.304 0.000
Pt P Y
2 1 1
Direct
0.000 0.000 0.000
0.750 0.750 0.750
0.500 0.500 0.500
0.250 0.250 0.250
```

Values from the calculation:
Formation energy = -2.2 eV per formula unit

---

No. 4
Density functional theory data (PBE-GGA) for a geometry-optimized YP2Pt structure.

Geometry as POSCAR:
```
YP2Pt
1.0
-2.335 -3.350 -1.692
3.605 -1.446 -2.112
0.835 -1.991 2.789
P Pt Y
2 1 1
Direct
0.500 0.500 0.000
0.000 0.000 0.000
0.500 0.000 0.500
0.000 0.500 0.500
```

Values from the calculation:
Relative energy among the computed polymorphs = 431 meV per atom
Formation energy = -2.6 eV per formula unit

---

No. 5
Density functional theory data (PBE-GGA) for a geometry-optimized Y4P12Pt structure.

Geometry as POSCAR:
```
Y4P12Pt
1.0
7.316 0.000 0.000
-2.439 6.898 0.000
-2.439 -3.449 5.974
P Y Pt
12 4 1
Direct
0.750 0.250 0.500
0.000 0.704 0.704
0.500 0.250 0.750
0.704 0.000 0.704
0.296 0.000 0.296
0.750 0.500 0.250
0.296 0.296 0.000
0.000 0.296 0.296
0.250 0.500 0.750
0.500 0.750 0.250
0.704 0.704 0.000
0.250 0.750 0.500
0.500 0.000 0.000
0.000 0.000 0.500
0.500 0.500 0.500
0.000 0.500 0.000
0.000 0.000 0.000
```

Values from the calculation:
Formation energy = -5.2 eV per formula unit

---

No. 6
Density functional theory data (PBE-GGA) for a geometry-optimized YP4Pt structure.

Geometry as POSCAR:
```
YP4Pt
1.0
0.000 3.684 3.684
3.684 0.000 3.684
3.684 3.684 0.000
P Y Pt
4 1 1
Direct
0.848 0.384 0.384
0.384 0.384 0.848
0.384 0.848 0.384
0.384 0.384 0.384
0.000 0.000 0.000
0.750 0.750 0.750
```

Values from the calculation:
Relative energy among the computed polymorphs = 358 meV per atom
Formation energy = -0.1 eV per formula unit

---

Number 1: density of states at the Fermi level 3.6 states/eV/f.u.. Number 2: density of states at the Fermi level 1.3 states/eV/f.u.. Number 3: density of states at the Fermi level 2.5 states/eV/f.u.. Number 4: density of states at the Fermi level 1.4 states/eV/f.u.. Number 5: density of states at the Fermi level 9.8 states/eV/f.u.. Number 6: density of states at the Fermi level 3.0 states/eV/f.u..